LaNbCrO6: relaxed, GGA+U.

Unit cell a=4.919 b=4.919 c=9.800 alpha=90.00 beta=90.00 gamma=90.00
Atoms (fractional coordinates):
La 0.000 0.000 0.000
La 0.500 0.500 0.500
Nb 0.000 0.000 0.342
Nb 0.500 0.500 0.842
Cr 0.000 0.000 0.672
Cr 0.500 0.500 0.172
O 0.170 0.170 0.511
O 0.219 0.219 0.811
O 0.224 0.224 0.201
O 0.276 0.724 0.701
O 0.281 0.719 0.311
O 0.330 0.670 0.011
O 0.670 0.330 0.011
O 0.719 0.281 0.311
O 0.724 0.276 0.701
O 0.776 0.776 0.201
O 0.781 0.781 0.811
O 0.830 0.830 0.511

Computed properties:
DFT total energy: -8.2076 eV per atom
Magnetization: 2.0 μB per formula unit
SG: P4_2nm
Theoretical density: 5.32 g/cm3